First-principles (PBE) data for a relaxed Ca2LaCl crystal, as listed in the Alexandria database.

Calculated values
- V (Å³/cell) = 133
- relative energy among the computed polymorphs (eV per atom) = 0.056
- raw formation energy (eV per atom) = -0.7537

Cell lengths 3.731, 3.731, 10.567 Å; angles 90.00, 90.00, 115.44 degrees
Sites, in units of the cell vectors:
Ca 0.000 0.000 0.209
Ca 0.000 0.000 0.791
La 0.500 0.500 0.500
Cl 0.500 0.500 0.000